A plane-wave DFT calculation with PBE-GGA was carried out for Ca2ScTc after structural relaxation.

abc: 3.289 3.289 9.720
angles: 90.00 90.00 90.00
Atoms (fractional coordinates):
1 Ca 0.000 0.000 0.205
2 Ca 0.000 0.000 0.795
3 Sc 0.500 0.500 0.500
4 Tc 0.500 0.500 0.000

Formation energy from the elements = 0.58 eV/atom

=====

A plane-wave DFT calculation with PBE-GGA was carried out for CsSiMo2As after structural relaxation.

abc: 5.018 5.018 5.245
angles: 90.00 90.00 90.00
Atoms (fractional coordinates):
1 Cs 0.000 0.000 0.000
2 Si 0.000 0.000 0.500
3 Mo 0.000 0.500 0.000
4 Mo 0.500 0.000 0.000
5 As 0.500 0.500 0.500

E_form (uncorrected) = 3.10 eV/atom

=====

A plane-wave DFT calculation with PBE-GGA was carried out for Ca3NbSn after structural relaxation.

abc: 5.531 5.531 5.531
angles: 90.00 90.00 90.00
Atoms (fractional coordinates):
1 Ca 0.000 0.000 0.500
2 Ca 0.000 0.500 0.000
3 Ca 0.500 0.000 0.000
4 Nb 0.000 0.000 0.000
5 Sn 0.500 0.500 0.500

Formation energy from the elements = 0.80 eV/atom

=====

no.,energy (eV per formula unit)
1,-18.39
2,-17.07
3,-16.06